(1)
The following is a DFT calculation (PBE-GGA) of a relaxed CaTa2Ru crystal.

Computed properties:
ΔE to the lowest computed polymorph	471	meV per atom
formation energy	2.39	eV/f.u.
uncorrected energy	-32.59	eV/cell
size of the total moment	0.00	μB/cell

abc: 3.979 3.979 4.820
angles: 90.00 90.00 90.00
Sites, in units of the cell vectors:
Ca  0.000  0.000  0.000
Ta  0.000  0.500  0.500
Ta  0.500  0.000  0.500
Ru  0.500  0.500  0.000



(2)
The following is a DFT calculation (PBE-GGA) of a relaxed CaTa2Ru crystal.

Computed properties:
ΔE to the lowest computed polymorph	84	meV per atom
formation energy	0.84	eV/f.u.
uncorrected energy	-34.14	eV/cell
size of the total moment	0.00	μB/cell

abc: 5.803 5.803 5.803
angles: 148.64 129.64 60.54
Sites, in units of the cell vectors:
Ca  0.000  0.000  0.000
Ta  0.284  0.784  0.500
Ta  0.716  0.216  0.500
Ru  0.500  0.500  0.000



(3)
The following is a DFT calculation (PBE-GGA) of a relaxed Ca2TaRu crystal.

Computed properties:
ΔE to the lowest computed polymorph	177	meV per atom
formation energy	1.03	eV/f.u.
uncorrected energy	-24.10	eV/cell
size of the total moment	0.00	μB/cell

abc: 4.408 4.408 7.983
angles: 95.13 95.13 44.03
Sites, in units of the cell vectors:
Ca  0.000  0.000  0.000
Ca  0.215  0.215  0.610
Ta  0.457  0.457  0.348
Ru  0.735  0.735  0.239



(4)
The following is a DFT calculation (PBE-GGA) of a relaxed CaTaRu crystal.

Computed properties:
ΔE to the lowest computed polymorph	150	meV per atom
formation energy	0.05	eV/f.u.
uncorrected energy	-46.17	eV/cell
size of the total moment	0.00	μB/cell

abc: 3.108 4.351 10.645
angles: 90.00 98.19 90.00
Sites, in units of the cell vectors:
Ca  0.000  0.000  0.000
Ca  0.359  0.500  0.714
Ta  0.128  0.500  0.244
Ta  0.238  0.000  0.470
Ru  0.633  0.000  0.256
Ru  0.733  0.500  0.457



(5)
The following is a DFT calculation (PBE-GGA) of a relaxed CaTa2Ru crystal.

Computed properties:
ΔE to the lowest computed polymorph	0	meV per atom
formation energy	0.50	eV/f.u.
uncorrected energy	-34.48	eV/cell
size of the total moment	0.00	μB/cell

abc: 3.148 3.148 8.289
angles: 90.00 90.00 90.00
Sites, in units of the cell vectors:
Ca  0.000  0.000  0.000
Ta  0.000  0.000  0.430
Ta  0.500  0.500  0.657
Ru  0.500  0.500  0.262



(6)
The following is a DFT calculation (PBE-GGA) of a relaxed CaTaRu crystal.

Computed properties:
ΔE to the lowest computed polymorph	208	meV per atom
formation energy	0.22	eV/f.u.
uncorrected energy	-45.82	eV/cell
size of the total moment	0.00	μB/cell

abc: 5.728 5.728 7.697
angles: 109.94 109.94 31.94
Sites, in units of the cell vectors:
Ca  0.150  0.150  0.104
Ca  0.850  0.850  0.896
Ta  0.140  0.140  0.521
Ta  0.860  0.860  0.479
Ru  0.466  0.466  0.288
Ru  0.534  0.534  0.712



(7)
The following is a DFT calculation (PBE-GGA) of a relaxed CaTaRu crystal.

Computed properties:
ΔE to the lowest computed polymorph	182	meV per atom
formation energy	0.14	eV/f.u.
uncorrected energy	-45.97	eV/cell
size of the total moment	0.00	μB/cell

abc: 4.999 4.753 6.077
angles: 90.00 99.69 90.00
Sites, in units of the cell vectors:
Ca  0.228  0.250  0.404
Ca  0.772  0.750  0.596
Ta  0.324  0.750  0.020
Ta  0.676  0.250  0.980
Ru  0.164  0.250  0.897
Ru  0.836  0.750  0.103



(8)
The following is a DFT calculation (PBE-GGA) of a relaxed Ca2TaRu crystal.

Computed properties:
ΔE to the lowest computed polymorph	595	meV per atom
formation energy	2.70	eV/f.u.
uncorrected energy	-22.43	eV/cell
size of the total moment	0.90	μB/cell

abc: 2.960 2.960 9.893
angles: 90.00 90.00 90.00
Sites, in units of the cell vectors:
Ca  0.000  0.000  0.224
Ca  0.000  0.000  0.776
Ta  0.500  0.500  0.500
Ru  0.500  0.500  0.000